# 1
The following is a DFT calculation (PBE) of a geometry-optimized HfScF2 structure.

Calculated values
Calculated volume, Å³/atom: 15.10
Calculated density, Mg/m³: 7.19
Offset from the most stable computed form, meV/atom: 0.0
Energy, eV for the cell shown: -27.68
Total magnetization, μB/atom: 0.00
Formation energy without anion corrections, kJ/mol of formula units: -738

The structure in CIF format:
```
data_HfScF2
_chemical_formula_sum 'Hf1 Sc1 F2'
_cell_length_a 7.8179
_cell_length_b 7.8179
_cell_length_c 7.8179
_cell_angle_alpha 22.31
_cell_angle_beta 22.31
_cell_angle_gamma 22.31
_symmetry_space_group_name_H-M 'P 1'
_symmetry_Int_Tables_number 1
_symmetry_space_group_name_Hall 'P 1'
loop_
_atom_site_label
_atom_site_type_symbol
_atom_site_fract_x
_atom_site_fract_y
_atom_site_fract_z
_atom_site_occupancy
F1 F 0.9014 0.9014 0.9014 1
Sc1 Sc 0.5000 0.5000 0.5000 1
Hf1 Hf 0.0000 0.0000 0.0000 1
F2 F 0.0986 0.0986 0.0986 1
```

=====

# 2
The following is a DFT calculation (PBE) of a geometry-optimized HfSc2F2 structure.

Calculated values
Calculated volume, Å³/atom: 17.00
Calculated density, Mg/m³: 5.98
Offset from the most stable computed form, meV/atom: 0.0
Energy, eV for the cell shown: -35.99
Total magnetization, μB/atom: 0.00
Formation energy without anion corrections, kJ/mol of formula units: -929

The structure in CIF format:
```
data_HfSc2F2
_chemical_formula_sum 'Hf1 Sc2 F2'
_cell_length_a 3.3627
_cell_length_b 3.3627
_cell_length_c 7.8857
_cell_angle_alpha 77.69
_cell_angle_beta 77.69
_cell_angle_gamma 90.00
_symmetry_space_group_name_H-M 'P 1'
_symmetry_Int_Tables_number 1
_symmetry_space_group_name_Hall 'P 1'
loop_
_atom_site_label
_atom_site_type_symbol
_atom_site_fract_x
_atom_site_fract_y
_atom_site_fract_z
_atom_site_occupancy
F1 F 0.7500 0.2500 0.5000 1
Hf1 Hf 0.0000 0.0000 0.0000 1
Sc1 Sc 0.6514 0.6514 0.6972 1
F2 F 0.2500 0.7500 0.5000 1
Sc2 Sc 0.3486 0.3486 0.3028 1
```

=====

# 3
The following is a DFT calculation (PBE) of a geometry-optimized Hf3ScF structure.

Calculated values
Calculated volume, Å³/atom: 19.52
Calculated density, Mg/m³: 10.20
Offset from the most stable computed form, meV/atom: 0.0
Energy, eV for the cell shown: -40.61
Total magnetization, μB/atom: 0.00
Formation energy without anion corrections, kJ/mol of formula units: -245

The structure in CIF format:
```
data_Hf3ScF
_chemical_formula_sum 'Hf3 Sc1 F1'
_cell_length_a 4.6038
_cell_length_b 4.6038
_cell_length_c 4.6038
_cell_angle_alpha 90.00
_cell_angle_beta 90.00
_cell_angle_gamma 90.00
_symmetry_space_group_name_H-M 'P 1'
_symmetry_Int_Tables_number 1
_symmetry_space_group_name_Hall 'P 1'
loop_
_atom_site_label
_atom_site_type_symbol
_atom_site_fract_x
_atom_site_fract_y
_atom_site_fract_z
_atom_site_occupancy
Hf1 Hf 0.5000 0.0000 0.0000 1
Hf2 Hf 0.0000 0.0000 0.5000 1
F1 F 0.0000 0.0000 0.0000 1
Sc1 Sc 0.5000 0.5000 0.5000 1
Hf3 Hf 0.0000 0.5000 0.0000 1
```

=====

# 4
The following is a DFT calculation (PBE) of a geometry-optimized HfSc3F structure.

Calculated values
Calculated volume, Å³/atom: 19.49
Calculated density, Mg/m³: 5.66
Offset from the most stable computed form, meV/atom: 0.0
Energy, eV for the cell shown: -35.04
Total magnetization, μB/atom: 0.00
Formation energy without anion corrections, kJ/mol of formula units: -407

The structure in CIF format:
```
data_HfSc3F
_chemical_formula_sum 'Hf1 Sc3 F1'
_cell_length_a 4.6019
_cell_length_b 4.6019
_cell_length_c 4.6019
_cell_angle_alpha 90.00
_cell_angle_beta 90.00
_cell_angle_gamma 90.00
_symmetry_space_group_name_H-M 'P 1'
_symmetry_Int_Tables_number 1
_symmetry_space_group_name_Hall 'P 1'
loop_
_atom_site_label
_atom_site_type_symbol
_atom_site_fract_x
_atom_site_fract_y
_atom_site_fract_z
_atom_site_occupancy
Sc1 Sc 0.5000 0.0000 0.0000 1
Sc2 Sc 0.0000 0.0000 0.5000 1
F1 F 0.0000 0.0000 0.0000 1
Hf1 Hf 0.5000 0.5000 0.5000 1
Sc3 Sc 0.0000 0.5000 0.0000 1
```

=====

# 5
The following is a DFT calculation (PBE) of a geometry-optimized HfSc3F structure.

Calculated values
Calculated volume, Å³/atom: 29.33
Calculated density, Mg/m³: 3.76
Offset from the most stable computed form, meV/atom: 1437.6
Energy, eV for the cell shown: -27.85
Total magnetization, μB/atom: 0.00
Formation energy without anion corrections, kJ/mol of formula units: 287

The structure in CIF format:
```
data_HfSc3F
_chemical_formula_sum 'Hf1 Sc3 F1'
_cell_length_a 5.2735
_cell_length_b 5.2735
_cell_length_c 5.2735
_cell_angle_alpha 90.00
_cell_angle_beta 90.00
_cell_angle_gamma 90.00
_symmetry_space_group_name_H-M 'P 1'
_symmetry_Int_Tables_number 1
_symmetry_space_group_name_Hall 'P 1'
loop_
_atom_site_label
_atom_site_type_symbol
_atom_site_fract_x
_atom_site_fract_y
_atom_site_fract_z
_atom_site_occupancy
Sc1 Sc 0.5000 0.0000 0.0000 1
Hf1 Hf 0.0000 0.0000 0.0000 1
F1 F 0.5000 0.5000 0.5000 1
Sc2 Sc 0.0000 0.0000 0.5000 1
Sc3 Sc 0.0000 0.5000 0.0000 1
```

=====

# 6
The following is a DFT calculation (PBE) of a geometry-optimized HfScF6 structure.

Calculated values
Calculated volume, Å³/atom: 14.95
Calculated density, Mg/m³: 4.68
Energy, eV for the cell shown: -56.09
Total magnetization, μB/atom: 0.13
Formation energy without anion corrections, kJ/mol of formula units: -2758

The structure in CIF format:
```
data_HfScF6
_chemical_formula_sum 'Hf1 Sc1 F6'
_cell_length_a 5.1517
_cell_length_b 5.1517
_cell_length_c 5.2519
_cell_angle_alpha 96.70
_cell_angle_beta 96.70
_cell_angle_gamma 118.20
_symmetry_space_group_name_H-M 'P 1'
_symmetry_Int_Tables_number 1
_symmetry_space_group_name_Hall 'P 1'
loop_
_atom_site_label
_atom_site_type_symbol
_atom_site_fract_x
_atom_site_fract_y
_atom_site_fract_z
_atom_site_occupancy
F1 F 0.2457 0.2457 0.7375 1
F2 F 0.8803 0.5797 0.7475 1
Sc1 Sc 0.0000 0.0000 0.0000 1
F3 F 0.4203 0.1197 0.2525 1
Hf1 Hf 0.5000 0.5000 0.5000 1
F4 F 0.7543 0.7543 0.2625 1
F5 F 0.1197 0.4203 0.2525 1
F6 F 0.5797 0.8803 0.7475 1
```

=====

# 7
The following is a DFT calculation (PBE) of a geometry-optimized HfScF2 structure.

Calculated values
Calculated volume, Å³/atom: 16.60
Calculated density, Mg/m³: 6.54
Offset from the most stable computed form, meV/atom: 126.9
Energy, eV for the cell shown: -54.35
Total magnetization, μB/atom: 0.00
Formation energy without anion corrections, kJ/mol of formula units: -690

The structure in CIF format:
```
data_HfScF2
_chemical_formula_sum 'Hf2 Sc2 F4'
_cell_length_a 5.0839
_cell_length_b 5.0839
_cell_length_c 6.2710
_cell_angle_alpha 66.09
_cell_angle_beta 66.09
_cell_angle_gamma 90.00
_symmetry_space_group_name_H-M 'P 1'
_symmetry_Int_Tables_number 1
_symmetry_space_group_name_Hall 'P 1'
loop_
_atom_site_label
_atom_site_type_symbol
_atom_site_fract_x
_atom_site_fract_y
_atom_site_fract_z
_atom_site_occupancy
Hf1 Hf 0.7500 0.2500 0.5000 1
Sc1 Sc 0.2500 0.7500 0.5000 1
F1 F 0.5894 0.1250 0.2500 1
Hf2 Hf 0.0000 0.0000 0.0000 1
F2 F 0.8750 0.8394 0.7500 1
F3 F 0.1606 0.6250 0.2500 1
F4 F 0.3750 0.4106 0.7500 1
Sc2 Sc 0.5000 0.5000 0.0000 1
```

=====

# 8
The following is a DFT calculation (PBE) of a geometry-optimized Hf2ScF structure.

Calculated values
Calculated volume, Å³/atom: 20.30
Calculated density, Mg/m³: 8.61
Offset from the most stable computed form, meV/atom: 793.0
Energy, eV for the cell shown: -27.27
Total magnetization, μB/atom: 0.00
Formation energy without anion corrections, kJ/mol of formula units: 81

The structure in CIF format:
```
data_Hf2ScF
_chemical_formula_sum 'Hf2 Sc1 F1'
_cell_length_a 4.8608
_cell_length_b 4.8608
_cell_length_c 4.8608
_cell_angle_alpha 60.00
_cell_angle_beta 60.00
_cell_angle_gamma 60.00
_symmetry_space_group_name_H-M 'P 1'
_symmetry_Int_Tables_number 1
_symmetry_space_group_name_Hall 'P 1'
loop_
_atom_site_label
_atom_site_type_symbol
_atom_site_fract_x
_atom_site_fract_y
_atom_site_fract_z
_atom_site_occupancy
Hf1 Hf 0.2500 0.2500 0.2500 1
Hf2 Hf 0.7500 0.7500 0.7500 1
F1 F 0.0000 0.0000 0.0000 1
Sc1 Sc 0.5000 0.5000 0.5000 1
```